1.
Below is an optimized crystal structure of TcIrRh2, with properties calculated at the GGA-PBEsol level. Values from VASP.

Summary:
The calculation puts the total energy at -9.41 eV/atom. The energy relative to the lowest polymorph listed for this composition comes out at 4.3 kJ/mol of atoms. The density of states at the Fermi level is 0.8039 states/eV per atom. The value obtained for the formation energy is -0.073 eV per atom.

Quantum ESPRESSO input file:
```
&SYSTEM
  ibrav = 0, nat = 4, ntyp = 3
/
ATOMIC_SPECIES
Ir 192.22 Ir.upf
Rh 102.91 Rh.upf
Tc 98.00 Tc.upf
CELL_PARAMETERS angstrom
-1.6403 1.5225 1.4609
-3.1398 -3.4526 0.0730
2.8954 -0.3748 3.6414
ATOMIC_POSITIONS angstrom
Ir -0.9423 -1.1525 2.5877
Rh -1.5699 -1.7263 0.0365
Rh 1.4477 -0.1874 1.8207
Tc -0.8201 0.7613 0.7305
```



2.
Below is an optimized crystal structure of FeHg2Ru, with properties calculated at the GGA-PBEsol level. Values from VASP.

Summary:
The calculation puts the total energy at -4.55 eV/atom. The energy relative to the lowest polymorph listed for this composition comes out at 0.0 kJ/mol of atoms. The density of states at the Fermi level is 0.6716 states/eV per atom. The value obtained for the formation energy is 0.518 eV per atom.

Quantum ESPRESSO input file:
```
&SYSTEM
  ibrav = 0, nat = 4, ntyp = 3
/
ATOMIC_SPECIES
Fe 55.84 Fe.upf
Hg 200.59 Hg.upf
Ru 101.07 Ru.upf
CELL_PARAMETERS angstrom
-0.0461 -0.6952 -3.9600
1.8580 -3.5157 0.5955
-4.4640 0.2861 2.0431
ATOMIC_POSITIONS angstrom
Fe 0.0000 0.0000 0.0000
Hg -1.8021 -1.2572 -1.7996
Hg -0.8500 -2.6675 0.4782
Ru 0.9060 -2.1054 -1.6822
```



3.
Below is an optimized crystal structure of MgZr2Cd, with properties calculated at the GGA-PBEsol level. Values from VASP.

Summary:
The calculation puts the total energy at -5.30 eV/atom. The density of states at the Fermi level is 0.7550 states/eV per atom. The value obtained for the formation energy is -0.029 eV per atom.

Quantum ESPRESSO input file:
```
&SYSTEM
  ibrav = 0, nat = 4, ntyp = 3
/
ATOMIC_SPECIES
Mg 24.30 Mg.upf
Zr 91.22 Zr.upf
Cd 112.41 Cd.upf
CELL_PARAMETERS angstrom
3.1452 0.0000 0.0000
0.0000 4.2660 0.0000
0.0000 0.0000 6.3753
ATOMIC_POSITIONS angstrom
Mg 1.5726 2.1330 4.7454
Zr 0.0000 0.0000 0.0473
Zr 1.5726 2.1330 1.5551
Cd 0.0000 0.0000 3.2151
```



4.
Below is an optimized crystal structure of Ho2Fe17H3, with properties calculated at the GGA-PBEsol level. Values from VASP.

Summary:
The calculation puts the total energy at -7.90 eV/atom. The density of states at the Fermi level is 1.0937 states/eV per atom.

Quantum ESPRESSO input file:
```
&SYSTEM
  ibrav = 0, nat = 44, ntyp = 3
/
ATOMIC_SPECIES
Ho 164.93 Ho.upf
Fe 55.84 Fe.upf
H 1.01 H.upf
CELL_PARAMETERS angstrom
-7.0658 -3.2777 1.6821
0.2695 -4.2310 -7.1122
3.1722 -3.2968 6.9012
ATOMIC_POSITIONS angstrom
Ho 0.4382 -4.4276 2.6506
Ho -4.0623 -6.3779 -1.1795
Ho -1.7665 -0.8194 0.4205
Ho -5.2994 -2.4582 1.2616
Fe 0.4619 -6.8876 -2.0433
Fe -4.0860 -3.9178 3.5143
Fe -1.4259 -3.8285 -4.0122
Fe -2.1190 -8.2200 3.3937
Fe -2.1982 -6.9770 5.4833
Fe -1.5051 -2.5854 -1.9227
Fe -0.6241 -3.5010 -0.0061
Fe -3.1540 -4.8864 5.5419
Fe -3.0000 -7.3045 1.4772
Fe -0.4701 -5.9190 -4.0708
Fe -4.0112 -5.0928 1.5392
Fe 0.3870 -5.7126 -0.0681
Fe -4.1094 -6.5371 3.7332
Fe 0.4852 -4.2684 -2.2621
Fe -1.5440 -5.2097 -1.7790
Fe -2.0801 -5.5958 3.2501
Fe -0.6025 -7.1597 1.8238
Fe -3.0216 -3.6457 -0.3527
Fe -2.3254 -3.3914 1.9294
Fe -6.3415 -5.1858 0.4376
Fe -1.2987 -7.4140 -0.4583
Fe 2.7174 -5.6197 1.0334
Fe -0.7375 -5.0417 5.3840
Fe -4.6187 -8.9541 0.3320
Fe -2.8867 -5.7637 -3.9130
Fe 0.9946 -1.8514 1.1391
Fe -6.2066 -7.3038 -3.1226
Fe 2.5825 -3.5017 4.5937
Fe -1.9468 -3.2872 4.2916
Fe -3.3982 -3.7543 -2.7150
Fe 1.5861 -1.6484 3.4506
Fe -1.8121 -5.4027 0.7355
Fe 0.1348 -2.1155 -3.5561
Fe 1.7209 -3.7639 -0.1055
H 1.0632 -6.4078 1.4173
H -4.6873 -4.3977 0.0537
H -0.6756 -2.6047 1.5240
H -2.9485 -8.2007 -0.0529
H 0.9270 -4.2703 5.0104
H -4.5511 -6.5352 -3.5394
```



5.
Below is an optimized crystal structure of Li2VP2HO8, with properties calculated at the GGA-PBEsol level. Values from VASP.

Summary:
The calculation puts the total energy at -7.23 eV/atom. The energy relative to the lowest polymorph listed for this composition comes out at 0.0 kJ/mol of atoms. The density of states at the Fermi level is 0.4980 states/eV per atom.

Quantum ESPRESSO input file:
```
&SYSTEM
  ibrav = 0, nat = 28, ntyp = 5
/
ATOMIC_SPECIES
Li 6.94 Li.upf
V 50.94 V.upf
P 30.97 P.upf
H 1.01 H.upf
O 16.00 O.upf
CELL_PARAMETERS angstrom
-3.0925 -1.1775 3.4972
3.3178 -6.4551 -1.8073
5.6468 1.3747 5.4562
ATOMIC_POSITIONS angstrom
Li -0.8939 -1.1534 2.7871
Li 5.4664 -5.4209 3.1033
Li 3.5937 -3.4814 1.3770
Li 3.5462 -2.4678 6.9941
V 7.3537 -3.7614 4.9677
V 1.3261 -1.8129 4.8915
P 0.5496 -3.6427 2.0969
P 4.1940 -2.8899 3.9588
P 4.8678 -6.0128 0.5190
P 2.1002 0.0217 7.6861
H 5.6956 -0.5312 5.8665
H 2.9811 -5.0439 3.9896
O 6.4578 -5.2960 5.7993
O 1.7544 -0.3922 3.6080
O 0.9966 -3.2486 3.5131
O 5.6652 -2.8170 4.3961
O 3.2526 -2.3831 5.0722
O 1.7497 -4.0865 1.2335
O -0.2009 -2.4339 1.4677
O 3.8765 -4.3586 3.5561
O 3.3966 -6.0813 0.0827
O 1.6552 -0.3763 6.2708
O 7.3107 -4.8135 3.2452
O -0.6014 -1.2405 4.7100
O 2.0936 -5.7207 4.4203
O 5.9448 -0.0097 4.8190
O 3.9889 -2.0542 2.6774
O -0.4896 -4.7813 2.1760
```



6.
Below is an optimized crystal structure of AlFeBr2, with properties calculated at the GGA-PBEsol level. Values from VASP.

Summary:
The calculation puts the total energy at -3.78 eV/atom. The energy relative to the elements, uncorrected is 0.415 eV per atom. The energy relative to the lowest polymorph listed for this composition comes out at 43.7 kJ/mol of atoms. The density of states at the Fermi level is 0.6606 states/eV per atom.

Quantum ESPRESSO input file:
```
&SYSTEM
  ibrav = 0, nat = 4, ntyp = 3
/
ATOMIC_SPECIES
Fe 55.84 Fe.upf
Br 79.90 Br.upf
Al 26.98 Al.upf
CELL_PARAMETERS angstrom
-2.5865 -1.1742 1.6817
2.8951 -3.4563 2.0396
1.0353 3.0730 3.7380
ATOMIC_POSITIONS angstrom
Fe 0.6719 -0.7787 3.7296
Br 0.5177 1.5365 1.8690
Br 1.4476 -1.7282 1.0198
Al -1.2933 -0.5871 0.8408
```



7.
Below is an optimized crystal structure of CsCaP2, with properties calculated at the GGA-PBEsol level. Values from VASP.

Summary:
The calculation puts the total energy at -3.90 eV/atom. The density of states at the Fermi level is 0.2405 states/eV per atom. The value obtained for the formation energy is -0.239 eV per atom.

Quantum ESPRESSO input file:
```
&SYSTEM
  ibrav = 0, nat = 8, ntyp = 3
/
ATOMIC_SPECIES
Cs 132.91 Cs.upf
P 30.97 P.upf
Ca 40.08 Ca.upf
CELL_PARAMETERS angstrom
-2.4214 1.9355 -4.1717
0.6562 -4.5209 -2.4785
-7.4678 -1.7919 6.7409
ATOMIC_POSITIONS angstrom
Cs 0.0000 0.0000 0.0000
Cs -3.8471 -3.8028 0.4687
P -6.8682 -1.8296 1.5190
P -5.6575 -2.7973 3.6048
P -2.8062 -3.1941 -3.0907
P -3.1343 -0.9336 -1.8515
Ca -0.8826 -1.2927 -3.3251
Ca -5.3859 -0.5745 -0.3779
```



8.
Below is an optimized crystal structure of Mn2InTe, with properties calculated at the GGA-PBEsol level. Values from VASP.

Summary:
The calculation puts the total energy at -6.09 eV/atom. The energy relative to the elements, uncorrected is 0.413 eV per atom. The energy relative to the lowest polymorph listed for this composition comes out at 3.7 kJ/mol of atoms. The density of states at the Fermi level is 0.8193 states/eV per atom.

Quantum ESPRESSO input file:
```
&SYSTEM
  ibrav = 0, nat = 4, ntyp = 3
/
ATOMIC_SPECIES
In 114.82 In.upf
Mn 54.94 Mn.upf
Te 127.60 Te.upf
CELL_PARAMETERS angstrom
3.3302 0.0975 0.1191
-0.1406 4.6114 0.1790
-0.1406 -0.7371 4.5557
ATOMIC_POSITIONS angstrom
In 1.6651 0.0487 0.0596
Mn -0.0703 2.3057 0.0895
Mn -0.0703 -0.3685 2.2778
Te 1.5245 1.9859 2.4269
```